(1)
A relaxed structure of CdFeTeO6. Source: Alexandria via LeMat-Bulk, functional PBE+U.

extended XYZ file:
```
18
Lattice="4.838 0.000 0.000 0.000 4.838 0.000 0.000 0.000 9.557" Properties=species:S:1:pos:R:3 pbc="T T T"
O 1.443 1.443 6.587
Cd 0.000 0.000 9.535
O 3.395 3.395 6.587
Fe 2.419 2.419 1.608
O 3.268 3.268 9.508
O 1.383 1.383 3.026
Te 2.419 2.419 7.959
O 3.989 0.849 4.729
O 3.802 1.036 7.804
O 1.036 3.802 7.804
O 3.455 3.455 3.026
Te 0.000 0.000 3.181
Cd 2.419 2.419 4.756
O 0.849 3.989 4.729
O 1.570 1.570 9.508
O 3.862 0.976 1.808
O 0.976 3.862 1.808
Fe 0.000 0.000 6.387
```



(2)
A relaxed structure of CdFeTe2O8. Source: Alexandria via LeMat-Bulk, functional PBE+U.

extended XYZ file:
```
12
Lattice="6.100 0.140 0.000 -2.580 5.529 0.000 -1.760 -2.835 5.109" Properties=species:S:1:pos:R:3 pbc="T T T"
O 0.171 -1.561 4.140
Te 3.050 0.070 2.554
O 3.281 -1.471 3.564
O -0.171 1.561 4.140
O 1.566 -0.406 1.545
Fe 0.000 0.000 0.000
Cd -1.290 2.765 2.554
O 2.819 1.611 3.564
O 4.534 0.546 1.545
Te 1.760 2.835 0.000
O 3.235 3.374 0.968
O 0.285 2.295 0.968
```



(3)
A relaxed structure of TiCd2FeO. Source: Alexandria via LeMat-Bulk, functional PBE+U.

extended XYZ file:
```
5
Lattice="4.938 0.000 0.000 0.000 4.554 0.000 0.000 0.000 4.938" Properties=species:S:1:pos:R:3 pbc="T T T"
O 2.469 2.277 2.469
Cd 2.469 0.000 0.000
Ti 0.000 2.277 0.000
Fe 0.000 0.000 0.000
Cd 0.000 0.000 2.469
```



(4)
A relaxed structure of TiCdFe2O6. Source: Alexandria via LeMat-Bulk, functional PBE+U.

extended XYZ file:
```
10
Lattice="5.193 0.000 0.000 -2.596 4.497 0.001 -2.596 -1.499 4.684" Properties=species:S:1:pos:R:3 pbc="T T T"
Fe 0.040 3.017 1.717
O -1.593 -0.344 3.203
Cd -2.557 1.518 2.606
Ti 0.040 3.017 4.611
O 1.824 0.060 0.699
O -1.426 3.283 3.204
O -0.888 1.546 0.698
Fe 0.040 0.019 4.202
O 1.778 2.950 0.699
O 0.543 1.615 3.204
```



(5)
A relaxed structure of UCd2FeO6. Source: Alexandria via LeMat-Bulk, functional PBE+U.

extended XYZ file:
```
10
Lattice="4.289 0.000 0.000 0.000 5.558 0.000 0.000 0.000 5.558" Properties=species:S:1:pos:R:3 pbc="T T T"
Cd 0.553 0.000 2.779
O 2.793 1.441 4.117
O 2.793 1.441 1.441
O 2.793 4.117 1.441
Fe 2.780 2.779 2.779
O 0.624 0.000 0.000
O 2.793 4.117 4.117
O 0.630 2.779 2.779
U 2.761 0.000 0.000
Cd 0.553 2.779 0.000
```



(6)
A relaxed structure of V2CdFeO. Source: Alexandria via LeMat-Bulk, functional PBE+U.

extended XYZ file:
```
5
Lattice="-1.920 4.166 -1.164 -3.555 -2.300 -2.367 -2.584 -0.084 3.963" Properties=species:S:1:pos:R:3 pbc="T T T"
O -4.030 0.891 0.216
V -1.292 -0.042 1.982
Cd -1.778 -1.150 -1.184
V -0.960 2.083 -0.582
Fe 0.000 0.000 0.000
```



(7)
A relaxed structure of V2CdFeO6. Source: Alexandria via LeMat-Bulk, functional PBE+U.

extended XYZ file:
```
20
Lattice="5.112 0.152 0.158 1.811 6.834 0.670 1.811 0.416 6.854" Properties=species:S:1:pos:R:3 pbc="T T T"
O 4.745 2.972 2.416
O 2.076 1.498 0.471
O 5.100 1.093 4.458
Cd 3.089 2.378 5.040
O 3.990 4.430 5.266
V 5.859 1.331 2.785
V 5.432 4.744 6.328
Cd 5.645 5.025 2.642
O 6.546 5.174 4.701
Fe 5.645 1.015 6.505
O 6.191 3.064 6.503
Fe 3.089 6.387 1.177
V 2.875 6.071 4.896
V 3.303 2.658 1.354
O 4.632 0.491 1.593
O 3.635 6.309 3.224
O 4.103 6.911 6.088
O 6.659 5.904 7.211
O 2.544 4.338 1.179
O 2.189 2.228 2.981
```



(8)
A relaxed structure of Cd2FeWO6. Source: Alexandria via LeMat-Bulk, functional PBE+U.

extended XYZ file:
```
20
Lattice="-1.349 5.239 -0.835 0.179 -0.832 -5.509 -7.768 -2.038 0.056" Properties=species:S:1:pos:R:3 pbc="T T T"
O -3.679 0.207 -4.165
O -0.715 0.625 -1.312
O -5.181 2.369 -5.088
O -3.758 0.001 -1.200
O -0.643 0.866 -4.050
Cd -1.806 -1.261 -5.268
W -4.559 1.601 -0.389
O -2.889 2.583 -0.772
Cd -7.133 3.630 -1.020
O -6.027 -1.386 -2.518
Cd -2.500 1.685 -2.915
Fe -3.795 -1.435 -2.727
O -5.260 2.162 -2.123
W 0.089 -0.416 -2.755
O -8.224 1.744 -4.976
O -2.912 3.756 -3.770
O -8.296 1.503 -2.238
O -6.050 -0.214 -5.516
Cd -6.439 0.685 -3.373
Fe -0.675 2.620 -0.417
```



(9)
A relaxed structure of CdFe2WO6. Source: Alexandria via LeMat-Bulk, functional PBE+U.

extended XYZ file:
```
10
Lattice="5.435 0.057 -0.068 2.766 4.719 -0.035 2.673 1.592 4.827" Properties=species:S:1:pos:R:3 pbc="T T T"
O 3.876 3.105 3.701
O 4.655 4.853 1.073
O 6.108 4.578 3.734
Fe 2.685 1.615 4.534
W 2.720 1.591 0.179
O 4.441 1.477 1.058
O 7.392 3.090 1.071
Cd 8.109 4.788 2.755
O 6.216 1.961 3.600
Fe 5.437 3.189 2.025
```



(10)
A relaxed structure of CdFeW2O8. Source: Alexandria via LeMat-Bulk, functional PBE+U.

extended XYZ file:
```
12
Lattice="6.086 0.296 0.000 -2.433 5.586 0.000 -1.826 -2.941 5.014" Properties=species:S:1:pos:R:3 pbc="T T T"
O 1.592 -0.205 1.461
O 2.716 1.606 3.553
Cd -1.217 2.793 2.507
O 4.494 0.502 1.461
W 1.826 2.941 0.000
Fe 0.000 0.000 0.000
W 3.043 0.148 2.507
O 0.264 -1.481 4.009
O 0.382 2.521 1.005
O 3.370 -1.309 3.553
O 3.270 3.361 1.005
O -0.264 1.481 4.009
```



Number 1: magnetic moment 10.3 Bohr magnetons per cell, VASP energy -96.77 eV for the cell shown. Number 2: magnetic moment 4.0 Bohr magnetons per cell, VASP energy -62.65 eV for the cell shown. Number 3: magnetic moment 1.8 Bohr magnetons per cell, VASP energy -15.50 eV for the cell shown. Number 4: magnetic moment 6.0 Bohr magnetons per cell, VASP energy -66.37 eV for the cell shown. Number 5: magnetic moment 0.8 Bohr magnetons per cell, VASP energy -63.51 eV for the cell shown. Number 6: magnetic moment 3.5 Bohr magnetons per cell, VASP energy -18.91 eV for the cell shown. Number 7: magnetic moment 8.0 Bohr magnetons per cell, VASP energy -133.38 eV for the cell shown. Number 8: magnetic moment 8.0 Bohr magnetons per cell, VASP energy -119.26 eV for the cell shown. Number 9: magnetic moment 8.0 Bohr magnetons per cell, VASP energy -64.96 eV for the cell shown. Number 10: magnetic moment 4.0 Bohr magnetons per cell, VASP energy -80.15 eV for the cell shown.